DFT (PBE-GGA) results for crystalline SrLaTl at its relaxed geometry.

Its volume is 225 Å³ per cell. For the total energy, the calculation gives -3.210 eV per atom.

The structure belongs to space group P4/mmm (No. 123); the cell edges are 4.059, 4.059 and 13.664 Å and the angles 90.00°, 90.00° and 90.00°. The distinct sites, in fractional coordinates, are Sr at (0.000, 0.000, 0.000), Sr at (0.500, 0.500, 0.500), La at (0.000, 0.000, 0.288) and Tl at (0.500, 0.500, 0.160).

***

DFT (PBE-GGA) results for crystalline CoSiAg2 at its relaxed geometry.

The uncorrected formation energy comes out at 0.11 eV/atom. Its volume is 128 Å³ per cell. For the total energy, the calculation gives -4.444 eV per atom.

The structure belongs to space group Immm (No. 71); the cell edges are 2.778, 3.574 and 12.935 Å and the angles 90.00°, 90.00° and 90.00°. The distinct sites, in fractional coordinates, are Co at (0.000, 0.000, 0.000), Si at (0.000, 0.000, 0.500) and Ag at (0.000, 0.500, 0.179).

***

DFT (PBE-GGA) results for crystalline Mg3CdPd6 at its relaxed geometry.

Its volume is 1021 Å³ per cell. For the total energy, the calculation gives -4.178 eV per atom.

The structure belongs to space group R-3 (No. 148, hexagonal axes); the cell edges are 12.0166, 12.0166 and 8.1664 Å and the angles 90.00°, 90.00° and 120.00°. The distinct sites, in fractional coordinates, are Mg at (0.0497, 0.8284, 0.2474), Cd at (0.0000, 0.0000, 0.0000), Cd at (0.0000, 0.0000, 0.5000), Pd at (0.0489, 0.8071, 0.5771) and Pd at (0.0627, 0.8193, 0.9208).

***

DFT (PBE-GGA) results for crystalline Sm2ThBi2N2 at its relaxed geometry.

The uncorrected formation energy comes out at -0.86 eV/atom. Its volume is 347 Å³ per cell. For the total energy, the calculation gives -6.753 eV per atom.

The structure belongs to space group I4/mmm (No. 139); the cell edges are 4.628, 4.628 and 16.221 Å and the angles 90.00°, 90.00° and 90.00°. The distinct sites, in fractional coordinates, are Sm at (0.000, 0.000, 0.099), Th at (0.000, 0.000, 0.500), Bi at (0.000, 0.000, 0.293) and N at (0.000, 0.500, 0.000).

***

DFT (PBE-GGA) results for crystalline RbNpBr5 at its relaxed geometry.

The uncorrected formation energy comes out at -1.39 eV/atom. Its volume is 1234 Å³ per cell. For the total energy, the calculation gives -4.570 eV per atom.

The structure belongs to space group C2/c (No. 15); the cell edges are 13.173, 9.063 and 11.292 Å and the angles 90.00°, 113.73° and 90.00°. The distinct sites, in fractional coordinates, are Rb at (0.000, 0.035, 0.250), Np at (0.000, 0.500, 0.000), Br at (0.000, 0.434, 0.250), Br at (0.081, 0.219, 0.006) and Br at (0.209, 0.392, 0.616).

***

DFT (PBE-GGA) results for crystalline Ac2GePdO6 at its relaxed geometry.

The uncorrected formation energy comes out at -2.17 eV/atom. Its volume is 141 Å³ per cell. For the total energy, the calculation gives -6.944 eV per atom.

The structure belongs to space group P4mm (No. 99); the cell edges are 5.653, 5.653 and 4.409 Å and the angles 90.00°, 90.00° and 90.00°. The distinct sites, in fractional coordinates, are Ac at (0.000, 0.500, 0.000), Ge at (0.000, 0.000, 0.533), Pd at (0.500, 0.500, 0.561), O at (0.000, 0.000, 0.125), O at (0.230, 0.230, 0.626) and O at (0.500, 0.500, 0.066).

***

DFT (PBE-GGA) results for crystalline DyAl10Ru2 at its relaxed geometry.

Its volume is 851 Å³ per cell. For the total energy, the calculation gives -5.180 eV per atom.

The structure belongs to space group Cmcm (No. 63); the cell edges are 9.095, 10.231 and 9.147 Å and the angles 90.00°, 90.00° and 90.00°. The distinct sites, in fractional coordinates, are Dy at (0.000, 0.128, 0.250), Al at (0.000, 0.156, 0.600), Al at (0.000, 0.377, 0.048), Al at (0.150, 0.370, 0.750), Al at (0.223, 0.365, 0.250), Al at (0.225, 0.000, 0.000) and Ru at (0.250, 0.250, 0.000).

***

DFT (PBE-GGA) results for crystalline TaTe2Ru2 at its relaxed geometry.

The uncorrected formation energy comes out at 0.42 eV/atom. Its volume is 183 Å³ per cell. For the total energy, the calculation gives -6.922 eV per atom.

The structure belongs to space group P4/mbm (No. 127); the cell edges are 7.680, 7.680 and 3.105 Å and the angles 90.00°, 90.00° and 90.00°. The distinct sites, in fractional coordinates, are Ta at (0.000, 0.000, 0.000), Te at (0.155, 0.345, 0.000) and Ru at (0.149, 0.649, 0.500).

***

DFT (PBE-GGA) results for crystalline Cr2CuRu at its relaxed geometry.

Its volume is 101 Å³ per cell. For the total energy, the calculation gives -7.784 eV per atom.

The structure belongs to space group Cmmm (No. 65); the cell edges are 2.932, 4.137 and 8.342 Å and the angles 90.00°, 90.00° and 90.00°. The distinct sites, in fractional coordinates, are Cr at (0.000, 0.000, 0.249), Cu at (0.000, 0.500, 0.500) and Ru at (0.000, 0.500, 0.000).

***

DFT (PBE-GGA) results for crystalline Mg2BeNi at its relaxed geometry.

Its volume is 60 Å³ per cell. For the total energy, the calculation gives -3.168 eV per atom.

The structure belongs to space group Pm (No. 6); the cell edges are 3.112, 3.869 and 5.245 Å and the angles 90.00°, 107.04° and 90.00°. The distinct sites, in fractional coordinates, are Mg at (0.000, 0.000, 0.000), Mg at (0.314, 0.500, 0.633), Be at (0.706, 0.000, 0.417) and Ni at (0.603, 0.500, 0.208).

***

DFT (PBE-GGA) results for crystalline Li6Rh2Pb at its relaxed geometry.

Its volume is 277 Å³ per cell. For the total energy, the calculation gives -3.401 eV per atom.

The structure belongs to space group C2/m (No. 12); the cell edges are 13.334, 7.697 and 2.701 Å and the angles 90.00°, 90.17° and 90.00°. The distinct sites, in fractional coordinates, are Li at (0.000, 0.151, 0.000), Li at (0.175, 0.325, 0.006), Rh at (0.167, 0.000, 0.501) and Pb at (0.000, 0.500, 0.500).

***

DFT (PBE-GGA) results for crystalline LaBeAlPt2 at its relaxed geometry.

Its volume is 186 Å³ per cell. For the total energy, the calculation gives -5.833 eV per atom.

The structure belongs to space group I-4m2 (No. 119); the cell edges are 4.069, 4.069 and 11.262 Å and the angles 90.00°, 90.00° and 90.00°. The distinct sites, in fractional coordinates, are La at (0.000, 0.000, 0.000), Be at (0.000, 0.500, 0.250), Al at (0.000, 0.500, 0.750) and Pt at (0.000, 0.000, 0.374).

***

DFT (PBE-GGA) results for crystalline Tl2SbMo at its relaxed geometry.

The uncorrected formation energy comes out at 0.31 eV/atom. Its volume is 302 Å³ per cell. For the total energy, the calculation gives -4.612 eV per atom.

The structure belongs to space group R3m (No. 160, hexagonal axes); the cell edges are 3.3302, 3.3302 and 31.4699 Å and the angles 90.00°, 90.00° and 120.00°. The distinct sites, in fractional coordinates, are Tl at (0.0000, 0.0000, 0.0000), Tl at (0.0000, 0.0000, 0.2407), Sb at (0.0000, 0.0000, 0.7731) and Mo at (0.0000, 0.0000, 0.5018).

***

DFT (PBE-GGA) results for crystalline SnHOs2 at its relaxed geometry.

Its volume is 53 Å³ per cell. For the total energy, the calculation gives -7.113 eV per atom.

The structure belongs to space group Pm (No. 6); the cell edges are 2.936, 3.013 and 6.196 Å and the angles 90.00°, 103.27° and 90.00°. The distinct sites, in fractional coordinates, are Sn at (0.000, 0.000, 0.000), H at (0.626, 0.500, 0.253), Os at (0.345, 0.500, 0.688) and Os at (0.707, 0.000, 0.406).

***

DFT (PBE-GGA) results for crystalline InAsSe at its relaxed geometry.

The uncorrected formation energy comes out at 0.31 eV/atom. Its volume is 139 Å³ per cell. For the total energy, the calculation gives -3.309 eV per atom.

The structure belongs to space group I4mm (No. 107); the cell edges are 2.928, 2.928 and 16.193 Å and the angles 90.00°, 90.00° and 90.00°. The distinct sites, in fractional coordinates, are In at (0.000, 0.000, 0.000), As at (0.000, 0.000, 0.345) and Se at (0.000, 0.000, 0.669).

***

DFT (PBE-GGA) results for crystalline NpBeF6 at its relaxed geometry.

The uncorrected formation energy comes out at -3.18 eV/atom. Its volume is 188 Å³ per cell. For the total energy, the calculation gives -6.663 eV per atom.

The structure belongs to space group C2/m (No. 12); the cell edges are 5.182, 7.808 and 4.759 Å and the angles 90.00°, 101.95° and 90.00°. The distinct sites, in fractional coordinates, are Np at (0.000, 0.000, 0.000), Be at (0.000, 0.500, 0.500), F at (0.172, 0.344, 0.750) and F at (0.241, 0.000, 0.675).

***

DFT (PBE-GGA) results for crystalline LiHoPb2 at its relaxed geometry.

Its volume is 314 Å³ per cell. For the total energy, the calculation gives -3.768 eV per atom.

The structure belongs to space group R-3m (No. 166, hexagonal axes); the cell edges are 4.8730, 4.8730 and 15.2821 Å and the angles 90.00°, 90.00° and 120.00°. The distinct sites, in fractional coordinates, are Li at (0.0000, 0.0000, 0.0000), Ho at (0.0000, 0.0000, 0.5000) and Pb at (0.0000, 0.0000, 0.2623).

***

DFT (PBE-GGA) results for crystalline LiTaBe2 at its relaxed geometry.

Its volume is 191 Å³ per cell. For the total energy, the calculation gives -5.029 eV per atom.

The structure belongs to space group Fm-3m (No. 225); the cell edges are 5.757, 5.757 and 5.757 Å and the angles 90.00°, 90.00° and 90.00°. The distinct sites, in fractional coordinates, are Li at (0.000, 0.000, 0.000), Ta at (0.000, 0.000, 0.500) and Be at (0.250, 0.250, 0.250).

***

DFT (PBE-GGA) results for crystalline VCdCu at its relaxed geometry.

Its volume is 398 Å³ per cell. For the total energy, the calculation gives -4.311 eV per atom.

The structure belongs to space group Fmmm (No. 69); the cell edges are 5.393, 6.696 and 11.013 Å and the angles 90.00°, 90.00° and 90.00°. The distinct sites, in fractional coordinates, are V at (0.000, 0.141, 0.000), Cd at (0.250, 0.250, 0.250) and Cu at (0.000, 0.000, 0.396).

***

DFT (PBE-GGA) results for crystalline GdMnGa2 at its relaxed geometry.

Its volume is 306 Å³ per cell. For the total energy, the calculation gives -7.563 eV per atom.

The structure belongs to space group Fm-3m (No. 225); the cell edges are 6.737, 6.737 and 6.737 Å and the angles 90.00°, 90.00° and 90.00°. The distinct sites, in fractional coordinates, are Gd at (0.000, 0.000, 0.000), Mn at (0.000, 0.000, 0.500) and Ga at (0.250, 0.250, 0.250).

***

DFT (PBE-GGA) results for crystalline Si2PtRh at its relaxed geometry.

The uncorrected formation energy comes out at -0.28 eV/atom. Its volume is 177 Å³ per cell. For the total energy, the calculation gives -6.341 eV per atom.

The structure belongs to space group R3m (No. 160, hexagonal axes); the cell edges are 2.9890, 2.9890 and 22.8199 Å and the angles 90.00°, 90.00° and 120.00°. The distinct sites, in fractional coordinates, are Si at (0.0000, 0.0000, 0.0000), Si at (0.0000, 0.0000, 0.2496), Pt at (0.0000, 0.0000, 0.7417) and Rh at (0.0000, 0.0000, 0.5110).

***

DFT (PBE-GGA) results for crystalline Ta2SBrCl at its relaxed geometry.

The uncorrected formation energy comes out at 1.69 eV/atom. Its volume is 119 Å³ per cell. For the total energy, the calculation gives -4.578 eV per atom.

The structure belongs to space group P4/mmm (No. 123); the cell edges are 4.781, 4.781 and 5.195 Å and the angles 90.00°, 90.00° and 90.00°. The distinct sites, in fractional coordinates, are Ta at (0.000, 0.500, 0.000), S at (0.000, 0.000, 0.500), Br at (0.500, 0.500, 0.000) and Cl at (0.500, 0.500, 0.500).

***

DFT (PBE-GGA) results for crystalline NdErInOs at its relaxed geometry.

Its volume is 377 Å³ per cell. For the total energy, the calculation gives -5.986 eV per atom.

The structure belongs to space group F-43m (No. 216); the cell edges are 7.224, 7.224 and 7.224 Å and the angles 90.00°, 90.00° and 90.00°. The distinct sites, in fractional coordinates, are Nd at (0.000, 0.000, 0.000), Er at (0.000, 0.000, 0.500), In at (0.250, 0.250, 0.250) and Os at (0.250, 0.250, 0.750).

***

DFT (PBE-GGA) results for crystalline KSr2RhN at its relaxed geometry.

The uncorrected formation energy comes out at -0.01 eV/atom. Its volume is 128 Å³ per cell. For the total energy, the calculation gives -4.036 eV per atom.

The structure belongs to space group P4/mmm (No. 123); the cell edges are 5.647, 5.647 and 4.025 Å and the angles 90.00°, 90.00° and 90.00°. The distinct sites, in fractional coordinates, are K at (0.000, 0.000, 0.000), Sr at (0.000, 0.500, 0.500), Rh at (0.500, 0.500, 0.000) and N at (0.500, 0.500, 0.500).

***

DFT (PBE-GGA) results for crystalline MgMnGaSiS at its relaxed geometry.

The uncorrected formation energy comes out at -0.23 eV/atom. Its volume is 171 Å³ per cell. For the total energy, the calculation gives -4.898 eV per atom.

The structure belongs to space group Cm (No. 8); the cell edges are 8.390, 2.944 and 7.462 Å and the angles 90.00°, 111.61° and 90.00°. The distinct sites, in fractional coordinates, are Mg at (0.000, 0.000, 0.000), Mn at (0.464, 0.500, 0.383), Ga at (0.482, 0.000, 0.667), Si at (0.190, 0.500, 0.412) and S at (0.325, 0.000, 0.144).